# 1
Ba8Tl2Sn: relaxed, PBE-GGA.

Lattice parameters (Å, degrees): 10.414 10.414 10.414 147.16 124.27 66.21
Sites, in units of the cell vectors:
Ba 0.122 0.343 0.779
Ba 0.140 0.140 0.000
Ba 0.318 0.000 0.318
Ba 0.436 0.657 0.779
Ba 0.564 0.343 0.221
Ba 0.682 0.000 0.682
Ba 0.860 0.860 0.000
Ba 0.878 0.657 0.221
Tl 0.309 0.809 0.500
Tl 0.691 0.191 0.500
Sn 0.000 0.500 0.500

Computed properties:
Total magnetic moment ... 0.00 Bohr magnetons per cell
DOS at the Fermi energy ... 0.912 states/eV per atom
Distance to the lowest polymorph of the same formula ... 54 meV per atom
Formation energy ... -0.25 eV per atom
Space-group type ... Immm

# 2
Ba2TlSn: relaxed, PBE-GGA.

Lattice parameters (Å, degrees): 4.122 4.122 37.104 90.00 90.00 120.00
Sites, in units of the cell vectors:
Ba 0.000 0.000 0.094
Ba 0.000 0.000 0.906
Ba 0.333 0.667 0.572
Ba 0.333 0.667 0.761
Ba 0.667 0.333 0.239
Ba 0.667 0.333 0.428
Tl 0.000 0.000 0.500
Tl 0.333 0.667 0.167
Tl 0.667 0.333 0.833
Sn 0.000 0.000 0.000
Sn 0.333 0.667 0.667
Sn 0.667 0.333 0.333

Computed properties:
Total magnetic moment ... 0.00 Bohr magnetons per cell
DOS at the Fermi energy ... 1.258 states/eV per atom
Formation energy ... 0.05 eV per atom
Space-group type ... R-3m

What is the formula in the second record?
Ba2TlSn

The highest DOS at the Fermi energy belongs to which entry?
Ba2TlSn

Among the records above, which one has the highest DOS at the Fermi energy?
Ba2TlSn